#one
# Al2GaSn (PBE-GGA, optimized geometry)
# * crystal system: tetragonal
# * total moment: 0.0 μB/f.u.
data_Al2GaSn
_chemical_formula_sum 'Al2 Ga1 Sn1'
_symmetry_space_group_name_H-M 'P 4/m m m'
_symmetry_Int_Tables_number 123
_symmetry_space_group_name_Hall '-P 4 2'
_cell_length_a 4.3583
_cell_length_b 4.3583
_cell_length_c 4.2457
_cell_angle_alpha 90.00
_cell_angle_beta 90.00
_cell_angle_gamma 90.00
loop_
_atom_site_label
_atom_site_fract_x
_atom_site_fract_y
_atom_site_fract_z
Al1 0.0000 0.5000 0.0000
Ga1 0.0000 0.0000 0.5000
Sn1 0.5000 0.5000 0.5000

***

#two
# Al2GaSn (PBE-GGA, optimized geometry)
# * crystal system: trigonal
# * total moment: 0.0 μB/f.u.
data_Al2GaSn
_chemical_formula_sum 'Al6 Ga3 Sn3'
_symmetry_space_group_name_H-M 'R -3 m'
_symmetry_Int_Tables_number 166
_symmetry_space_group_name_Hall '-R 3 2"'
_cell_length_a 3.7480
_cell_length_b 3.7480
_cell_length_c 21.2630
_cell_angle_alpha 90.00
_cell_angle_beta 90.00
_cell_angle_gamma 120.00
loop_
_atom_site_label
_atom_site_fract_x
_atom_site_fract_y
_atom_site_fract_z
Al1 0.0000 0.0000 0.2403
Ga1 0.0000 0.0000 0.5000
Sn1 0.0000 0.0000 0.0000

***

Most stable = #one

***

#one
# Al2Ga2Sn (PBE-GGA, optimized geometry)
# * crystal system: tetragonal
# * total moment: 0.0 μB/f.u.
data_Al2Ga2Sn
_chemical_formula_sum 'Al4 Ga4 Sn2'
_symmetry_space_group_name_H-M 'I 4/m m m'
_symmetry_Int_Tables_number 139
_symmetry_space_group_name_Hall '-I 4 2'
_cell_length_a 4.2608
_cell_length_b 4.2608
_cell_length_c 11.2328
_cell_angle_alpha 90.00
_cell_angle_beta 90.00
_cell_angle_gamma 90.00
loop_
_atom_site_label
_atom_site_fract_x
_atom_site_fract_y
_atom_site_fract_z
Al1 0.0000 0.5000 0.2500
Ga1 0.0000 0.0000 0.1103
Sn1 0.0000 0.0000 0.5000

***

#two
# Al2Ga2Sn (PBE-GGA, optimized geometry)
# * crystal system: tetragonal
# * total moment: 0.0 μB/f.u.
data_Al2Ga2Sn
_chemical_formula_sum 'Al4 Ga4 Sn2'
_symmetry_space_group_name_H-M 'I 4/m m m'
_symmetry_Int_Tables_number 139
_symmetry_space_group_name_Hall '-I 4 2'
_cell_length_a 3.9801
_cell_length_b 3.9801
_cell_length_c 12.9048
_cell_angle_alpha 90.00
_cell_angle_beta 90.00
_cell_angle_gamma 90.00
loop_
_atom_site_label
_atom_site_fract_x
_atom_site_fract_y
_atom_site_fract_z
Al1 0.0000 0.0000 0.1037
Ga1 0.0000 0.5000 0.2500
Sn1 0.0000 0.0000 0.5000

***

Most stable = #one

***

#one
# Al3GaSn (PBE-GGA, optimized geometry)
# * crystal system: cubic
# * total moment: 0.0 μB/f.u.
data_Al3GaSn
_chemical_formula_sum 'Al3 Ga1 Sn1'
_symmetry_space_group_name_H-M 'P m -3 m'
_symmetry_Int_Tables_number 221
_symmetry_space_group_name_Hall '-P 4 2 3'
_cell_length_a 5.2999
_cell_length_b 5.2999
_cell_length_c 5.2999
_cell_angle_alpha 90.00
_cell_angle_beta 90.00
_cell_angle_gamma 90.00
loop_
_atom_site_label
_atom_site_fract_x
_atom_site_fract_y
_atom_site_fract_z
Al1 0.0000 0.0000 0.5000
Ga1 0.5000 0.5000 0.5000
Sn1 0.0000 0.0000 0.0000

***

#two
# Al3GaSn (PBE-GGA, optimized geometry)
# * crystal system: cubic
# * total moment: 0.0 μB/f.u.
data_Al3GaSn
_chemical_formula_sum 'Al3 Ga1 Sn1'
_symmetry_space_group_name_H-M 'P m -3 m'
_symmetry_Int_Tables_number 221
_symmetry_space_group_name_Hall '-P 4 2 3'
_cell_length_a 4.8880
_cell_length_b 4.8880
_cell_length_c 4.8880
_cell_angle_alpha 90.00
_cell_angle_beta 90.00
_cell_angle_gamma 90.00
loop_
_atom_site_label
_atom_site_fract_x
_atom_site_fract_y
_atom_site_fract_z
Al1 0.0000 0.0000 0.5000
Ga1 0.0000 0.0000 0.0000
Sn1 0.5000 0.5000 0.5000

***

Most stable = #two

***

#one
# AlGaSn (PBE-GGA, optimized geometry)
# * crystal system: monoclinic
# * total moment: 0.0 μB/f.u.
data_AlGaSn
_chemical_formula_sum 'Al4 Ga4 Sn4'
_symmetry_space_group_name_H-M 'C 1 2/m 1'
_symmetry_Int_Tables_number 12
_symmetry_space_group_name_Hall '-C 2y'
_cell_length_a 8.1555
_cell_length_b 4.5759
_cell_length_c 8.4544
_cell_angle_alpha 90.00
_cell_angle_beta 104.41
_cell_angle_gamma 90.00
loop_
_atom_site_label
_atom_site_fract_x
_atom_site_fract_y
_atom_site_fract_z
Al1 0.1736 0.0000 0.0175
Ga1 0.0510 0.0000 0.2805
Sn1 0.2445 0.5000 0.3530

***

#two
# AlGaSn (PBE-GGA, optimized geometry)
# * crystal system: triclinic
# * total moment: 0.0 μB/f.u.
data_AlGaSn
_chemical_formula_sum 'Al2 Ga2 Sn2'
_symmetry_space_group_name_H-M 'P -1'
_symmetry_Int_Tables_number 2
_symmetry_space_group_name_Hall '-P 1'
_cell_length_a 3.0609
_cell_length_b 3.9371
_cell_length_c 10.7213
_cell_angle_alpha 89.81
_cell_angle_beta 88.61
_cell_angle_gamma 89.71
loop_
_atom_site_label
_atom_site_fract_x
_atom_site_fract_y
_atom_site_fract_z
Al1 0.1994 0.2497 0.3014
Ga1 0.2950 0.2502 0.5775
Sn1 0.4820 0.2513 0.8839

***

Most stable = #two

***

#one
# AlGaSn (PBE-GGA, optimized geometry)
# * crystal system: trigonal
# * total moment: 0.0 μB/f.u.
data_AlGaSn
_chemical_formula_sum 'Al1 Ga1 Sn1'
_symmetry_space_group_name_H-M 'P 3 m 1'
_symmetry_Int_Tables_number 156
_symmetry_space_group_name_Hall 'P 3 -2"'
_cell_length_a 4.7631
_cell_length_b 4.7631
_cell_length_c 3.3098
_cell_angle_alpha 90.00
_cell_angle_beta 90.00
_cell_angle_gamma 120.00
loop_
_atom_site_label
_atom_site_fract_x
_atom_site_fract_y
_atom_site_fract_z
Al1 0.0000 0.0000 0.0000
Ga1 0.3333 0.6667 0.9927
Sn1 0.6667 0.3333 0.4972

***

#two
# AlGaSn (PBE-GGA, optimized geometry)
# * crystal system: tetragonal
# * total moment: 0.0 μB/f.u.
data_AlGaSn
_chemical_formula_sum 'Al2 Ga2 Sn2'
_symmetry_space_group_name_H-M 'I 4 m m'
_symmetry_Int_Tables_number 107
_symmetry_space_group_name_Hall 'I 4 -2'
_cell_length_a 3.2580
_cell_length_b 3.2580
_cell_length_c 11.9671
_cell_angle_alpha 90.00
_cell_angle_beta 90.00
_cell_angle_gamma 90.00
loop_
_atom_site_label
_atom_site_fract_x
_atom_site_fract_y
_atom_site_fract_z
Al1 0.0000 0.0000 0.0000
Ga1 0.0000 0.0000 0.6372
Sn1 0.0000 0.0000 0.3248

***

Most stable = #two

***

#one
# AlGa2Sn (PBE-GGA, optimized geometry)
# * crystal system: tetragonal
# * total moment: 0.0 μB/f.u.
data_AlGa2Sn
_chemical_formula_sum 'Al4 Ga8 Sn4'
_symmetry_space_group_name_H-M 'I -4 2 d'
_symmetry_Int_Tables_number 122
_symmetry_space_group_name_Hall 'I -4 2bw'
_cell_length_a 4.1261
_cell_length_b 4.1261
_cell_length_c 20.1566
_cell_angle_alpha 90.00
_cell_angle_beta 90.00
_cell_angle_gamma 90.00
loop_
_atom_site_label
_atom_site_fract_x
_atom_site_fract_y
_atom_site_fract_z
Al1 0.0000 0.0000 0.0000
Ga1 0.2261 0.2500 0.1250
Sn1 0.0000 0.0000 0.5000

***

#two
# AlGa2Sn (PBE-GGA, optimized geometry)
# * crystal system: monoclinic
# * total moment: 0.0 μB/f.u.
data_AlGa2Sn
_chemical_formula_sum 'Al2 Ga4 Sn2'
_symmetry_space_group_name_H-M 'C 1 2/m 1'
_symmetry_Int_Tables_number 12
_symmetry_space_group_name_Hall '-C 2y'
_cell_length_a 5.5610
_cell_length_b 2.9960
_cell_length_c 10.1997
_cell_angle_alpha 90.00
_cell_angle_beta 98.53
_cell_angle_gamma 90.00
loop_
_atom_site_label
_atom_site_fract_x
_atom_site_fract_y
_atom_site_fract_z
Al1 0.0000 0.0000 0.0000
Ga1 0.1071 0.5000 0.7850
Sn1 0.0000 0.5000 0.5000

***

Most stable = #two

***

#one
# Sr8Al2Ga (PBE-GGA, optimized geometry)
# * crystal system: orthorhombic
# * total moment: 0.0 μB/f.u.
data_Sr8Al2Ga
_chemical_formula_sum 'Sr16 Al4 Ga2'
_symmetry_space_group_name_H-M 'I m m m'
_symmetry_Int_Tables_number 71
_symmetry_space_group_name_Hall '-I 2 2'
_cell_length_a 5.6136
_cell_length_b 9.2389
_cell_length_c 16.4548
_cell_angle_alpha 90.00
_cell_angle_beta 90.00
_cell_angle_gamma 90.00
loop_
_atom_site_label
_atom_site_fract_x
_atom_site_fract_y
_atom_site_fract_z
Sr1 0.0000 0.0000 0.1388
Sr2 0.0000 0.2194 0.3398
Sr3 0.0000 0.3153 0.0000
Al1 0.0000 0.5000 0.1876
Ga1 0.0000 0.5000 0.5000

***

#two
# Sr8Al2Ga (PBE-GGA, optimized geometry)
# * crystal system: monoclinic
# * total moment: 0.0 μB/f.u.
data_Sr8Al2Ga
_chemical_formula_sum 'Sr16 Al4 Ga2'
_symmetry_space_group_name_H-M 'C 1 2/m 1'
_symmetry_Int_Tables_number 12
_symmetry_space_group_name_Hall '-C 2y'
_cell_length_a 20.0757
_cell_length_b 5.7540
_cell_length_c 7.9807
_cell_angle_alpha 90.00
_cell_angle_beta 109.49
_cell_angle_gamma 90.00
loop_
_atom_site_label
_atom_site_fract_x
_atom_site_fract_y
_atom_site_fract_z
Sr1 0.0282 0.0000 0.2915
Sr2 0.0966 0.5000 0.9417
Sr3 0.1654 0.5000 0.4583
Sr4 0.2033 0.0000 0.8058
Al1 0.1807 0.0000 0.1983
Ga1 0.0000 0.5000 0.5000

***

Most stable = #two

***

#one
# Sr8AlGa2 (PBE-GGA, optimized geometry)
# * crystal system: monoclinic
# * total moment: 0.0 μB/f.u.
data_Sr8AlGa2
_chemical_formula_sum 'Sr16 Al2 Ga4'
_symmetry_space_group_name_H-M 'C 1 2/m 1'
_symmetry_Int_Tables_number 12
_symmetry_space_group_name_Hall '-C 2y'
_cell_length_a 19.9631
_cell_length_b 5.7222
_cell_length_c 7.9990
_cell_angle_alpha 90.00
_cell_angle_beta 109.67
_cell_angle_gamma 90.00
loop_
_atom_site_label
_atom_site_fract_x
_atom_site_fract_y
_atom_site_fract_z
Sr1 0.0318 0.0000 0.2909
Sr2 0.0972 0.5000 0.9526
Sr3 0.1708 0.5000 0.4635
Sr4 0.1993 0.0000 0.8106
Al1 0.0000 0.5000 0.5000
Ga1 0.1815 0.0000 0.1976

***

#two
# Sr8AlGa2 (PBE-GGA, optimized geometry)
# * crystal system: orthorhombic
# * total moment: 0.0 μB/f.u.
data_Sr8AlGa2
_chemical_formula_sum 'Sr16 Al2 Ga4'
_symmetry_space_group_name_H-M 'I m m m'
_symmetry_Int_Tables_number 71
_symmetry_space_group_name_Hall '-I 2 2'
_cell_length_a 5.5284
_cell_length_b 9.1746
_cell_length_c 16.6411
_cell_angle_alpha 90.00
_cell_angle_beta 90.00
_cell_angle_gamma 90.00
loop_
_atom_site_label
_atom_site_fract_x
_atom_site_fract_y
_atom_site_fract_z
Sr1 0.0000 0.0000 0.1386
Sr2 0.0000 0.2167 0.3376
Sr3 0.0000 0.3130 0.0000
Al1 0.0000 0.5000 0.5000
Ga1 0.0000 0.5000 0.1848

***

Most stable = #one